[1]
VASP calculation (PBE) on a geometry-optimized CaTiN3 structure.

Cell: 3.9550 3.9550 3.9550 Å, 90.00 90.00 90.00°
Last column: nearest neighbours and their distance in Å.
Atoms (fractional coordinates):
Ca1 0.0000 0.0000 0.0000  12 N 2.80
Ti1 0.5000 0.5000 0.5000  6 N 1.98
N1 0.0000 0.5000 0.5000  2 Ti 1.98
N2 0.5000 0.0000 0.5000  2 Ti 1.98
N3 0.5000 0.5000 0.0000  2 Ti 1.98

## Properties
Crystal system: cubic
DFT total energy, eV/atom: -7.30
Formation energy without anion corrections, eV per formula unit: -1.61
Size of the total moment, μB/f.u.: 1.9

=====

[2]
VASP calculation (PBE) on a geometry-optimized CaTi2N2 structure.

Cell: 6.2411 6.2411 2.9937 Å, 90.00 90.00 90.00°
Last column: nearest neighbours and their distance in Å.
Atoms (fractional coordinates):
Ca1 0.0000 0.0000 0.0000  4 N 2.39
Ca2 0.5000 0.5000 0.0000  4 N 2.39
Ti1 0.1419 0.3581 0.5000  6 N 2.33-2.41, 1 Ti 2.51
Ti2 0.3581 0.8581 0.5000  6 N 2.33-2.41, 1 Ti 2.51
Ti3 0.6419 0.1419 0.5000  6 N 2.33-2.41, 1 Ti 2.51
Ti4 0.8581 0.6419 0.5000  6 N 2.33-2.41, 1 Ti 2.51
N1 0.1448 0.6448 0.0000  6 Ti 2.33-2.41, 2 Ca 2.39, 1 N 2.56
N2 0.3552 0.1448 0.0000  6 Ti 2.33-2.41, 2 Ca 2.39, 1 N 2.56
N3 0.6448 0.8552 0.0000  6 Ti 2.33-2.41, 2 Ca 2.39, 1 N 2.56
N4 0.8552 0.3552 0.0000  6 Ti 2.33-2.41, 2 Ca 2.39, 1 N 2.56

## Properties
Crystal system: tetragonal
DFT total energy, eV/atom: -7.29
Formation energy without anion corrections, eV per formula unit: -2.01
Polymorph energy (0 for the lowest one), eV per formula unit: 2.40
Size of the total moment, μB/f.u.: 0.0

=====

[3]
VASP calculation (PBE) on a geometry-optimized Ca3TiN structure.

Cell: 4.9948 4.9948 4.9948 Å, 90.00 90.00 90.00°
Last column: nearest neighbours and their distance in Å.
Atoms (fractional coordinates):
Ca1 0.0000 0.0000 0.5000  2 N 2.50
Ca2 0.0000 0.5000 0.0000  2 N 2.50
Ca3 0.5000 0.0000 0.0000  2 N 2.50
Ti1 0.5000 0.5000 0.5000  12 Ca 3.53
N1 0.0000 0.0000 0.0000  6 Ca 2.50

## Properties
Crystal system: cubic
DFT total energy, eV/atom: -4.42
Formation energy without anion corrections, eV per formula unit: 0.11
Polymorph energy (0 for the lowest one), eV per formula unit: 0.00
Size of the total moment, μB/f.u.: 4.4

=====

[4]
VASP calculation (PBE) on a geometry-optimized Ca5Ti2N6 structure.

Cell: 10.3462 11.6328 3.4196 Å, 90.00 90.00 90.00°
Last column: nearest neighbours and their distance in Å.
Atoms (fractional coordinates):
Ca1 0.0000 0.0000 0.0000  4 N 2.52
Ca2 0.0148 0.2617 0.0000  5 N 2.38-2.62
Ca3 0.1932 0.5167 0.0000  3 N 2.40-2.41
Ca4 0.3068 0.0167 0.0000  3 N 2.40-2.41
Ca5 0.4852 0.7617 0.0000  5 N 2.38-2.62
Ca6 0.5000 0.5000 0.0000  4 N 2.52
Ca7 0.5148 0.2383 0.0000  5 N 2.38-2.62
Ca8 0.6932 0.9833 0.0000  3 N 2.40-2.41
Ca9 0.8068 0.4833 0.0000  3 N 2.40-2.41
Ca10 0.9852 0.7383 0.0000  5 N 2.38-2.62
Ti1 0.2408 0.7297 0.5000  4 N 1.88-2.00
Ti2 0.2592 0.2297 0.5000  4 N 1.88-2.00
Ti3 0.7408 0.7703 0.5000  4 N 1.88-2.00
Ti4 0.7592 0.2703 0.5000  4 N 1.88-2.00
N1 0.0946 0.6340 0.5000  1 Ti 1.88
N2 0.1174 0.1203 0.5000  1 Ti 1.94
N3 0.2405 0.8187 0.0000  2 Ti 2.00
N4 0.2595 0.3187 0.0000  2 Ti 2.00
N5 0.3826 0.6203 0.5000  1 Ti 1.94
N6 0.4054 0.1340 0.5000  1 Ti 1.88
N7 0.5946 0.8660 0.5000  1 Ti 1.88
N8 0.6174 0.3797 0.5000  1 Ti 1.94
N9 0.7405 0.6813 0.0000  2 Ti 2.00
N10 0.7595 0.1813 0.0000  2 Ti 2.00
N11 0.8826 0.8797 0.5000  1 Ti 1.94
N12 0.9054 0.3660 0.5000  1 Ti 1.88

## Properties
Crystal system: orthorhombic
DFT total energy, eV/atom: -6.94
Formation energy without anion corrections, eV per formula unit: -14.50
Polymorph energy (0 for the lowest one), eV per formula unit: 0.72
Size of the total moment, μB/f.u.: 0.0

=====

[5]
VASP calculation (PBE) on a geometry-optimized CaTiN2 structure.

Cell: 6.0763 7.3684 5.3418 Å, 90.00 90.00 90.00°
Last column: nearest neighbours and their distance in Å.
Atoms (fractional coordinates):
Ca1 0.0893 0.1207 0.0000  4 N 2.33-2.48
Ca2 0.4107 0.6207 0.5000  4 N 2.33-2.48
Ca3 0.5893 0.3793 0.0000  4 N 2.33-2.48
Ca4 0.9107 0.8793 0.5000  4 N 2.33-2.48
Ti1 0.0667 0.6266 0.0237  4 N 1.91-1.97
Ti2 0.4333 0.1266 0.5237  4 N 1.91-1.97
Ti3 0.5667 0.8734 0.0237  4 N 1.91-1.97
Ti4 0.9333 0.3734 0.5237  4 N 1.91-1.97
N1 0.0451 0.5933 0.3772  2 Ti 1.91-1.92
N2 0.1174 0.1599 0.4600  2 Ti 1.96-1.97
N3 0.3826 0.6599 0.9600  2 Ti 1.96-1.97
N4 0.4549 0.0933 0.8772  2 Ti 1.91-1.92
N5 0.5451 0.9067 0.3772  2 Ti 1.91-1.92
N6 0.6174 0.3401 0.4600  2 Ti 1.96-1.97
N7 0.8826 0.8401 0.9600  2 Ti 1.96-1.97
N8 0.9549 0.4067 0.8772  2 Ti 1.91-1.92

## Properties
Crystal system: orthorhombic
DFT total energy, eV/atom: -8.04
Formation energy without anion corrections, eV per formula unit: -5.61
Size of the total moment, μB/f.u.: 0.0

=====

[6]
VASP calculation (PBE) on a geometry-optimized CaTi2N2 structure.

Cell: 5.4206 5.4206 5.4206 Å, 137.96 137.96 60.97°
Last column: nearest neighbours and their distance in Å.
Atoms (fractional coordinates):
Ca1 0.0000 0.0000 0.0000  10 Ti 3.03-3.20, 8 N 3.04
Ti1 0.3240 0.3240 0.0000  4 N 2.06
Ti2 0.6760 0.6760 0.0000  4 N 2.06
N1 0.2500 0.7500 0.5000  4 Ti 2.06
N2 0.7500 0.2500 0.5000  4 Ti 2.06

## Properties
Crystal system: tetragonal
DFT total energy, eV/atom: -7.77
Formation energy without anion corrections, eV per formula unit: -4.41
Polymorph energy (0 for the lowest one), eV per formula unit: 0.00
Size of the total moment, μB/f.u.: 0.0

=====

[7]
VASP calculation (PBE) on a geometry-optimized CaTi4N6 structure.

Cell: 5.2213 5.2213 15.7650 Å, 90.00 90.00 146.52°
Last column: nearest neighbours and their distance in Å.
Atoms (fractional coordinates):
Ca1 0.1512 0.8488 0.7500  6 N 2.36-2.49
Ca2 0.8488 0.1512 0.2500  6 N 2.36-2.49
Ti1 0.1049 0.8951 0.1373  3 N 1.88-2.01
Ti2 0.1049 0.8951 0.3627  3 N 1.88-2.01
Ti3 0.3703 0.6297 0.0492  5 N 1.92-2.13
Ti4 0.3703 0.6297 0.4508  5 N 1.92-2.13
Ti5 0.6297 0.3703 0.5492  5 N 1.92-2.13
Ti6 0.6297 0.3703 0.9508  5 N 1.92-2.13
Ti7 0.8951 0.1049 0.6373  3 N 1.88-2.01
Ti8 0.8951 0.1049 0.8627  3 N 1.88-2.01
N1 0.0000 0.0000 0.0000  4 Ti 2.13
N2 0.0000 0.0000 0.5000  4 Ti 2.13
N3 0.1675 0.8325 0.2500  2 Ti 1.88
N4 0.2627 0.7373 0.5819  4 Ti 2.07-2.19
N5 0.2627 0.7373 0.9181  4 Ti 2.07-2.19
N6 0.4728 0.5272 0.1519  3 Ti 1.92-2.01
N7 0.4728 0.5272 0.3481  3 Ti 1.92-2.01
N8 0.5272 0.4728 0.6519  3 Ti 1.92-2.01
N9 0.5272 0.4728 0.8481  3 Ti 1.92-2.01
N10 0.7373 0.2627 0.0819  4 Ti 2.07-2.19
N11 0.7373 0.2627 0.4181  4 Ti 2.07-2.19
N12 0.8325 0.1675 0.7500  2 Ti 1.88

## Properties
Crystal system: orthorhombic
DFT total energy, eV/atom: -9.02
Formation energy without anion corrections, eV per formula unit: -15.67
Size of the total moment, μB/f.u.: 0.0

=====

[8]
VASP calculation (PBE) on a geometry-optimized Ca3TiN3 structure.

Cell: 8.1494 8.1494 9.7795 Å, 90.00 90.00 41.22°
Last column: nearest neighbours and their distance in Å.
Atoms (fractional coordinates):
Ca1 0.0472 0.3166 0.8605  4 N 2.45-2.68
Ca2 0.1249 0.8751 0.8381  4 N 2.39-2.64
Ca3 0.1834 0.4528 0.6395  4 N 2.45-2.68
Ca4 0.3166 0.0472 0.1395  4 N 2.45-2.68
Ca5 0.3751 0.6249 0.3381  4 N 2.39-2.64
Ca6 0.4528 0.1834 0.3605  4 N 2.45-2.68
Ca7 0.5472 0.8166 0.6395  4 N 2.45-2.68
Ca8 0.6249 0.3751 0.6619  4 N 2.39-2.64
Ca9 0.6834 0.9528 0.8605  4 N 2.45-2.68
Ca10 0.8166 0.5472 0.3605  4 N 2.45-2.68
Ca11 0.8751 0.1249 0.1619  4 N 2.39-2.64
Ca12 0.9528 0.6834 0.1395  4 N 2.45-2.68
Ti1 0.0914 0.0914 0.5000  4 N 1.96-2.07
Ti2 0.4086 0.4086 0.0000  4 N 1.96-2.07
Ti3 0.5914 0.5914 0.0000  4 N 1.96-2.07
Ti4 0.9086 0.9086 0.5000  4 N 1.96-2.07
N1 0.0517 0.6297 0.3832  1 Ti 1.96
N2 0.1297 0.5517 0.8832  1 Ti 1.96
N3 0.2074 0.7926 0.5985  2 Ti 2.07
N4 0.2926 0.7074 0.0985  2 Ti 2.07
N5 0.3703 0.9483 0.3832  1 Ti 1.96
N6 0.4483 0.8703 0.8832  1 Ti 1.96
N7 0.5517 0.1297 0.1168  1 Ti 1.96
N8 0.6297 0.0517 0.6168  1 Ti 1.96
N9 0.7074 0.2926 0.9015  2 Ti 2.07
N10 0.7926 0.2074 0.4015  2 Ti 2.07
N11 0.8703 0.4483 0.1168  1 Ti 1.96
N12 0.9483 0.3703 0.6168  1 Ti 1.96

## Properties
Crystal system: orthorhombic
DFT total energy, eV/atom: -6.52
Formation energy without anion corrections, eV per formula unit: -6.79
Polymorph energy (0 for the lowest one), eV per formula unit: 0.31
Size of the total moment, μB/f.u.: 0.0

=====

[9]
VASP calculation (PBE) on a geometry-optimized Ca2TiN2 structure.

Cell: 5.9994 5.9994 6.7673 Å, 112.39 112.39 50.22°
Last column: nearest neighbours and their distance in Å.
Atoms (fractional coordinates):
Ca1 0.0180 0.0180 0.2517  4 N 2.36-2.60
Ca2 0.3255 0.3255 0.9001  5 N 2.52-2.68
Ca3 0.6745 0.6745 0.0999  5 N 2.52-2.68
Ca4 0.9820 0.9820 0.7483  4 N 2.36-2.60
Ti1 0.3575 0.3575 0.3832  3 N 1.92-2.10
Ti2 0.6425 0.6425 0.6168  3 N 1.92-2.10
N1 0.1898 0.1898 0.1251  1 Ti 1.92
N2 0.4986 0.4986 0.7113  2 Ti 1.92-2.10
N3 0.5014 0.5014 0.2887  2 Ti 1.92-2.10
N4 0.8102 0.8102 0.8749  1 Ti 1.92

## Properties
Crystal system: monoclinic
DFT total energy, eV/atom: -6.74
Formation energy without anion corrections, eV per formula unit: -5.15
Size of the total moment, μB/f.u.: 0.0

=====

[10]
VASP calculation (PBE) on a geometry-optimized Ca7TiN6 structure.

Cell: 9.1812 9.1812 9.1812 Å, 139.69 102.30 91.40°
Last column: nearest neighbours and their distance in Å.
Atoms (fractional coordinates):
Ca1 0.0451 0.2220 0.2671  4 N 2.43-2.47
Ca2 0.0966 0.5019 0.8492  4 N 2.40-2.61
Ca3 0.1527 0.0019 0.4053  4 N 2.40-2.61
Ca4 0.2500 0.2500 0.0000  4 N 2.50
Ca5 0.3473 0.7526 0.8492  4 N 2.40-2.61
Ca6 0.4034 0.2526 0.4053  4 N 2.40-2.61
Ca7 0.4549 0.7220 0.1769  4 N 2.43-2.47
Ca8 0.5451 0.2780 0.8231  4 N 2.43-2.47
Ca9 0.5966 0.7474 0.5947  4 N 2.40-2.61
Ca10 0.6527 0.2474 0.1508  4 N 2.40-2.61
Ca11 0.7500 0.7500 0.0000  4 N 2.50
Ca12 0.8473 0.9981 0.5947  4 N 2.40-2.61
Ca13 0.9034 0.4981 0.1508  4 N 2.40-2.61
Ca14 0.9549 0.7780 0.7329  4 N 2.43-2.47
Ti1 0.2500 0.7500 0.5000  4 N 1.95
Ti2 0.7500 0.2500 0.5000  4 N 1.95
N1 0.0710 0.8652 0.5838  1 Ti 1.95
N2 0.1568 0.8890 0.0458  6 Ca 2.43-2.61
N3 0.2186 0.6348 0.2059  1 Ti 1.95
N4 0.2814 0.4873 0.4162  1 Ti 1.95
N5 0.3432 0.3890 0.7322  6 Ca 2.43-2.61
N6 0.4290 0.0127 0.7941  1 Ti 1.95
N7 0.5710 0.9873 0.2059  1 Ti 1.95
N8 0.6568 0.6110 0.2678  6 Ca 2.43-2.61
N9 0.7186 0.5127 0.5838  1 Ti 1.95
N10 0.7814 0.3652 0.7941  1 Ti 1.95
N11 0.8432 0.1110 0.9542  6 Ca 2.43-2.61
N12 0.9290 0.1348 0.4162  1 Ti 1.95

## Properties
Crystal system: orthorhombic
DFT total energy, eV/atom: -6.13
Formation energy without anion corrections, eV per formula unit: -13.99
Size of the total moment, μB/f.u.: 0.0

=====

[11]
VASP calculation (PBE) on a geometry-optimized CaTiN2 structure.

Cell: 3.9746 3.9746 3.9746 Å, 60.00 60.00 60.00°
Last column: nearest neighbours and their distance in Å.
Atoms (fractional coordinates):
Ca1 0.0000 0.0000 0.0000  8 N 2.43
Ti1 0.5000 0.5000 0.5000  8 N 2.43
N1 0.2500 0.2500 0.2500  4 Ca 2.43, 4 Ti 2.43
N2 0.7500 0.7500 0.7500  4 Ca 2.43, 4 Ti 2.43

## Properties
Crystal system: cubic
DFT total energy, eV/atom: -6.84
Formation energy without anion corrections, eV per formula unit: -0.81
Size of the total moment, μB/f.u.: 0.1

=====

[12]
VASP calculation (PBE) on a geometry-optimized CaTi3N structure.

Cell: 4.5483 4.5483 4.5483 Å, 90.00 90.00 90.00°
Last column: nearest neighbours and their distance in Å.
Atoms (fractional coordinates):
Ca1 0.0000 0.0000 0.0000  6 Ti 2.27
Ti1 0.0000 0.0000 0.5000  2 Ca 2.27
Ti2 0.0000 0.5000 0.0000  2 Ca 2.27
Ti3 0.5000 0.0000 0.0000  2 Ca 2.27
N1 0.5000 0.5000 0.5000  12 Ti 3.22

## Properties
Crystal system: cubic
DFT total energy, eV/atom: -4.10
Formation energy without anion corrections, eV per formula unit: 13.53
Polymorph energy (0 for the lowest one), eV per formula unit: 15.00
Size of the total moment, μB/f.u.: 0.0